Here is crystalline Sr2HgHAu at its relaxed geometry from Alexandria via LeMat-Bulk. Energies are from PBE.

Cell: 5.5578 5.5578 3.9238 Å, 90.00 90.00 90.00°
With the nearest neighbours (Å) after each atom.
Positions (direct):
Au 0.0000 0.0000 0.5000  2 H 1.96
H 0.0000 0.0000 0.0000  2 Au 1.96
Sr 0.0000 0.5000 0.0000  2 H 2.78
Hg 0.5000 0.5000 0.5000  8 Sr 3.40
Sr 0.5000 0.0000 0.0000  2 H 2.78

Computed properties:
Uncorrected energy ... -2.571 eV/atom
Symmetry ... P4/mmm (123)